LiInNiF6: relaxed, PBE+U.

extended XYZ file:
```
18
Lattice="4.811 0.000 0.000 0.000 4.811 0.000 0.000 0.000 9.553" Properties=species:S:1:pos:R:3 pbc="T T T"
Ni 0.000 0.000 6.375
Ni 2.406 2.406 1.598
F 0.918 3.893 7.935
F 1.432 1.432 6.356
F 3.379 3.379 6.356
F 1.488 1.488 3.158
F 0.973 3.838 1.580
F 3.838 0.973 1.580
F 3.893 0.918 7.935
F 3.323 3.323 3.158
F 0.945 3.866 4.822
F 3.866 0.945 4.822
F 3.351 3.351 0.046
F 1.460 1.460 0.046
Li 0.000 0.000 9.535
Li 2.406 2.406 4.759
In 0.000 0.000 3.182
In 2.406 2.406 7.959
```

SG: No. 102
Total DFT energy (no corrections), eV for the cell shown: -82.161